# 1
VASP calculation (PBE) on an optimized crystal structure of PaCoH4.

```
12
Lattice="1.941 -5.725 0.000 1.941 5.725 0.000 0.000 0.000 4.336" Properties=species:S:1:pos:R:3 pbc="T T T"
Pa 1.941 4.217 3.252
Pa 1.941 -4.217 1.084
Co 1.941 1.226 3.252
Co 1.941 -1.226 1.084
H 1.941 4.863 1.084
H 1.941 2.285 0.128
H 1.941 2.285 2.040
H 1.941 0.000 0.000
H 1.941 0.000 2.168
H 1.941 -2.285 2.296
H 1.941 -2.285 4.208
H 1.941 -4.863 3.252
```

## Properties
The total magnetization comes out at 0.3 Bohr magnetons per cell.

=====

# 2
VASP calculation (PBE) on an optimized crystal structure of Pm2CoH6.

```
9
Lattice="0.000 3.537 3.537 3.537 0.000 3.537 3.537 3.537 0.000" Properties=species:S:1:pos:R:3 pbc="T T T"
Pm 1.768 1.768 1.768
Pm 5.305 5.305 5.305
Co 0.000 0.000 0.000
H 3.537 3.537 1.641
H 3.537 1.641 3.537
H 5.433 3.537 3.537
H 1.641 3.537 3.537
H 3.537 5.433 3.537
H 3.537 3.537 5.433
```

## Properties
The total magnetization comes out at 1.0 Bohr magnetons per cell.

=====

# 3
VASP calculation (PBE) on an optimized crystal structure of PmCo2H7.

```
10
Lattice="2.434 -4.231 0.000 2.434 4.231 0.000 0.000 0.000 3.451" Properties=species:S:1:pos:R:3 pbc="T T T"
Pm 0.000 0.000 0.000
Co 2.434 1.586 1.725
Co 2.434 -1.586 1.725
H 0.880 1.254 1.725
H 2.434 1.549 0.000
H 0.880 -1.254 1.725
H 2.434 0.000 1.725
H 3.989 1.254 1.725
H 2.434 -1.549 0.000
H 3.989 -1.254 1.725
```

## Properties
The total magnetization comes out at 0.1 Bohr magnetons per cell.

=====

# 4
VASP calculation (PBE) on an optimized crystal structure of PrCo5H4.

```
10
Lattice="2.691 -4.391 0.000 2.691 4.391 0.000 0.000 0.000 4.005" Properties=species:S:1:pos:R:3 pbc="T T T"
Pr 0.000 0.000 0.000
Co 1.346 2.195 2.003
Co 2.691 1.196 0.000
Co 1.346 -2.195 2.003
Co 2.691 0.000 2.003
Co 2.691 -1.196 0.000
H 1.346 2.195 0.000
H 2.691 3.129 2.003
H 1.346 -2.195 0.000
H 2.691 -3.129 2.003
```

## Properties
The total magnetization comes out at 0.7 Bohr magnetons per cell.

=====

# 5
VASP calculation (PBE) on an optimized crystal structure of Co3HPt.

```
5
Lattice="3.681 0.000 0.000 0.000 3.681 0.000 0.000 0.000 3.681" Properties=species:S:1:pos:R:3 pbc="T T T"
Co 0.000 0.000 1.840
Co 0.000 1.840 0.000
Co 1.840 0.000 0.000
H 0.000 0.000 0.000
Pt 1.840 1.840 1.840
```

## Properties
The total magnetization comes out at 4.9 Bohr magnetons per cell.

=====

# 6
VASP calculation (PBE) on an optimized crystal structure of ScCoH3.

```
5
Lattice="3.337 0.000 0.000 0.000 3.337 0.000 0.000 0.000 3.337" Properties=species:S:1:pos:R:3 pbc="T T T"
Sc 0.000 0.000 0.000
Co 1.669 1.669 1.669
H 0.000 1.669 1.669
H 1.669 0.000 1.669
H 1.669 1.669 0.000
```

## Properties
The total magnetization comes out at 0.0 Bohr magnetons per cell.

=====

# 7
VASP calculation (PBE) on an optimized crystal structure of SrCoH3.

```
10
Lattice="5.072 0.000 0.000 -2.536 4.393 0.000 0.000 0.000 4.865" Properties=species:S:1:pos:R:3 pbc="T T T"
Sr 0.000 2.929 1.216
Sr 2.536 1.464 3.648
Co 0.000 0.000 0.000
Co 0.000 0.000 2.432
H 0.000 1.204 3.648
H -1.494 3.791 3.648
H 1.043 0.602 1.216
H 1.494 3.791 3.648
H 4.030 0.602 1.216
H 2.536 3.189 1.216
```

## Properties
The total magnetization comes out at 0.0 Bohr magnetons per cell.

=====

# 8
VASP calculation (PBE) on an optimized crystal structure of SrCoH3.

```
10
Lattice="0.000 3.646 3.646 3.646 0.000 3.646 3.646 3.646 0.000" Properties=species:S:1:pos:R:3 pbc="T T T"
Sr 1.823 1.823 1.823
Sr 5.469 5.469 5.469
Co 0.000 0.000 0.000
Co 3.646 3.646 3.646
H 3.646 3.646 1.814
H 3.646 1.814 3.646
H 5.478 3.646 3.646
H 1.814 3.646 3.646
H 3.646 5.478 3.646
H 3.646 3.646 5.478
```

## Properties
The total magnetization comes out at 0.3 Bohr magnetons per cell.

=====

Number 1: DFT total energy -5.3004 eV per atom. Number 2: DFT total energy -4.5708 eV per atom. Number 3: DFT total energy -4.4656 eV per atom. Number 4: DFT total energy -5.4242 eV per atom. Number 5: DFT total energy -6.1780 eV per atom. Number 6: DFT total energy -5.1498 eV per atom. Number 7: DFT total energy -4.1155 eV per atom. Number 8: DFT total energy -4.1006 eV per atom.